MnAl2Ir | PBE-GGA | relaxed

The calculation puts the energy of formation from the pure elements at -0.409 eV/atom. The crystal system is monoclinic. The total energy is -0.249 Ha/atom.

Cell and atoms, written as CIF:
```
data_MnAl2Ir
_cell_length_a 8.558
_cell_length_b 2.883
_cell_length_c 4.697
_cell_angle_alpha 90.00
_cell_angle_beta 100.44
_cell_angle_gamma 90.00
_symmetry_space_group_name_H-M 'C 1 2/m 1'
_symmetry_Int_Tables_number 12
loop_
_symmetry_equiv_pos_as_xyz
'x,y,z'
'-x,-y,-z'
'-x,y,-z'
'x,-y,z'
'x+1/2,y+1/2,z'
'-x+1/2,-y+1/2,-z'
'-x+1/2,y+1/2,-z'
'x+1/2,-y+1/2,z'
loop_
_atom_site_label
_atom_site_type_symbol
_atom_site_fract_x
_atom_site_fract_y
_atom_site_fract_z
Mn1 Mn 0.000 0.000 0.000
Al1 Al 0.245 0.000 0.746
Ir1 Ir 0.000 0.500 0.500
```